This record from the Alexandria database describes a crystal of CdRe2Ni relaxed with PBEsol. The functional is SCAN.

POSCAR file:
```
CdRe2Ni
1.0
-1.3470 2.2032 5.0140
1.3470 -2.2032 5.0140
1.3470 2.2032 -5.0140
Cd Re Ni
1 2 1
Cartesian
0.0000 0.0000 0.0000
1.3470 0.0000 2.8880
0.0000 2.2032 2.1259
0.0000 0.0000 5.0140
```

Calculated formation energy   293 meV per atom
V   14.88 A^3/atom
N(E_F)   2.0 states/eV per cell